1.
Here is crystalline SnTeF at its relaxed geometry from Alexandria. Energies are from GGA-PBE.

Unit cell a=4.175 b=4.175 c=8.923 alpha=77.30 beta=77.27 gamma=93.40
Element x y z (fractional)
F 0.861 0.320 0.920
F 0.268 0.913 0.920
Te 0.733 0.785 0.581
Te 0.394 0.447 0.259
Sn 0.172 0.225 0.702
Sn 0.955 0.008 0.137

The space group is Fmmm (69). The value obtained for the spin magnetization is 0.000 μB/cell. The value obtained for the energy relative to the elements, uncorrected is -24.70 kcal/mol of atoms. As for the uncorrected energy: -4.08 eV/atom.

2.
Here is crystalline LaAl2Pb at its relaxed geometry from Alexandria. Energies are from GGA-PBE.

Unit cell a=3.680 b=3.678 c=7.363 alpha=90.00 beta=90.00 gamma=90.00
Element x y z (fractional)
Al 0.500 0.500 0.197
Al 0.000 0.000 0.034
La 0.000 0.000 0.472
Pb 0.500 0.500 0.797

The space group is P4mm (99). The value obtained for the spin magnetization is 0.000 μB/cell. As for the uncorrected energy: -4.22 eV/atom. Its formation energy is -0.191 eV/atom.

3.
Here is crystalline NaSrZr3 at its relaxed geometry from Alexandria. Energies are from GGA-PBE.

Unit cell a=5.375 b=5.375 c=5.375 alpha=90.00 beta=90.00 gamma=90.00
Element x y z (fractional)
Zr 0.000 0.500 0.000
Zr 0.000 0.000 0.500
Zr 0.500 0.000 0.000
Sr 0.000 0.000 0.000
Na 0.500 0.500 0.500

The space group is Pm-3m (221). The value obtained for the spin magnetization is 0.000 μB/cell. As for the uncorrected energy: -3.93 eV/atom. Its formation energy is 1.796 eV/atom.

4.
Here is crystalline Tb2NdPu3Se6 at its relaxed geometry from Alexandria. Energies are from GGA-PBE.

Unit cell a=4.135 b=8.283 c=9.256 alpha=102.50 beta=102.91 gamma=90.00
Last column: magnetic moment on the atom in μB.
Element x y z (fractional)
Se 0.002 0.257 0.004  0.02
Se 0.998 0.743 0.996  0.02
Se 0.331 0.912 0.661  -0.05
Se 0.669 0.088 0.339  -0.05
Se 0.332 0.417 0.664  -0.02
Se 0.668 0.583 0.336  -0.02
Tb 0.833 0.664 0.667  0.01
Tb 0.167 0.336 0.333  0.01
Pu 0.835 0.165 0.670  5.43
Pu 0.165 0.835 0.330  5.43
Pu 0.500 0.500 0.000  -5.38
Nd 0.500 0.000 0.000  0.01

The space group is C2/m (12). The value obtained for the spin magnetization is 5.791 μB/cell. The value obtained for the energy relative to the elements, uncorrected is -38.79 kcal/mol of atoms. As for the uncorrected energy: -8.18 eV/atom.

5.
Here is crystalline Li2LaSc2Pb2 at its relaxed geometry from Alexandria. Energies are from GGA-PBE.

Unit cell a=4.797 b=4.797 c=9.148 alpha=74.80 beta=74.80 gamma=60.00
Last column: magnetic moment on the atom in μB.
Element x y z (fractional)
Sc 0.135 0.135 0.594  0.23
Sc 0.865 0.865 0.406  0.23
Li 0.567 0.567 0.300  0.00
Li 0.433 0.433 0.700  0.00
Pb 0.256 0.256 0.233  -0.01
Pb 0.744 0.744 0.767  -0.01
La 0.000 0.000 0.000  0.07

The space group is R-3m (166). The value obtained for the spin magnetization is 0.778 μB/cell. As for the uncorrected energy: -4.48 eV/atom. Its formation energy is -0.358 eV/atom.

6.
Here is crystalline Pr4AgPd3 at its relaxed geometry from Alexandria. Energies are from GGA-PBE.

Unit cell a=3.932 b=4.767 c=11.039 alpha=90.00 beta=90.00 gamma=90.00
Element x y z (fractional)
Pr 0.000 0.500 0.854
Pr 0.000 0.000 0.140
Pr 0.500 0.500 0.371
Pr 0.500 0.000 0.637
Pd 0.500 0.000 0.917
Pd 0.000 0.000 0.416
Pd 0.000 0.500 0.585
Ag 0.500 0.500 0.079

The space group is Pmm2 (25). The value obtained for the spin magnetization is 0.000 μB/cell. As for the uncorrected energy: -5.34 eV/atom. Its formation energy is -0.643 eV/atom.

7.
Here is crystalline NdErPb6 at its relaxed geometry from Alexandria. Energies are from GGA-PBE.

Unit cell a=4.900 b=4.900 c=9.802 alpha=90.00 beta=90.00 gamma=90.00
Element x y z (fractional)
Pb 0.000 0.500 0.745
Pb 0.500 0.500 0.500
Pb 0.500 0.500 0.000
Pb 0.500 0.000 0.745
Pb 0.500 0.000 0.255
Pb 0.000 0.500 0.255
Er 0.000 0.000 0.500
Nd 0.000 0.000 0.000

The space group is P4/mmm (123). The value obtained for the spin magnetization is 0.000 μB/cell. As for the uncorrected energy: -4.26 eV/atom. Its formation energy is -0.307 eV/atom.

8.
Here is crystalline Sr2InAg at its relaxed geometry from Alexandria. Energies are from GGA-PBE.

Unit cell a=6.808 b=6.808 c=6.808 alpha=146.73 beta=131.23 gamma=60.32
Element x y z (fractional)
Sr 0.719 0.219 0.500
Sr 0.016 0.016 0.000
In 0.290 0.790 0.500
Ag 0.475 0.475 0.000

The space group is Imm2 (44). The value obtained for the spin magnetization is 0.000 μB/cell. As for the uncorrected energy: -2.50 eV/atom. Its formation energy is -0.265 eV/atom.

9.
Here is crystalline TaV2W at its relaxed geometry from Alexandria. Energies are from GGA-PBE.

Unit cell a=3.117 b=3.117 c=6.288 alpha=90.00 beta=90.00 gamma=90.00
Element x y z (fractional)
V 0.000 0.000 0.760
V 0.000 0.000 0.240
Ta 0.500 0.500 0.500
W 0.500 0.500 0.000

The space group is P4/mmm (123). The value obtained for the spin magnetization is 0.000 μB/cell. As for the uncorrected energy: -10.79 eV/atom. Its formation energy is -0.027 eV/atom.